# 1
Here is crystalline ScCdW at its relaxed geometry from Alexandria. Energies are from PBE.

Structure (CIF):
```
data_ScCdW
_chemical_formula_sum 'Sc1 Cd1 W1'
_cell_length_a 5.4135
_cell_length_b 5.4135
_cell_length_c 5.4135
_cell_angle_alpha 148.22
_cell_angle_beta 136.09
_cell_angle_gamma 55.21
_symmetry_space_group_name_H-M 'P 1'
_symmetry_Int_Tables_number 1
_symmetry_space_group_name_Hall 'P 1'
loop_
_atom_site_label
_atom_site_type_symbol
_atom_site_fract_x
_atom_site_fract_y
_atom_site_fract_z
W1 W 0.6692 0.6692 0.0000
Sc1 Sc 0.3270 0.3270 0.0000
Cd1 Cd 0.0038 0.0038 0.0000
```

Values from the calculation:
theoretical density	9.84	g cm⁻³
energy of formation from the pure elements	0.366	eV/atom

***

# 2
Here is crystalline ScCd2W at its relaxed geometry from Alexandria. Energies are from PBE.

Structure (CIF):
```
data_ScCd2W
_chemical_formula_sum 'Sc1 Cd2 W1'
_cell_length_a 2.8944
_cell_length_b 2.8944
_cell_length_c 9.1991
_cell_angle_alpha 90.00
_cell_angle_beta 90.00
_cell_angle_gamma 89.84
_symmetry_space_group_name_H-M 'P 1'
_symmetry_Int_Tables_number 1
_symmetry_space_group_name_Hall 'P 1'
loop_
_atom_site_label
_atom_site_type_symbol
_atom_site_fract_x
_atom_site_fract_y
_atom_site_fract_z
W1 W 0.5000 0.5000 0.7500
Sc1 Sc 0.5000 0.5000 0.2500
Cd1 Cd 0.0000 0.0000 0.5075
Cd2 Cd 0.0000 0.0000 0.9925
```

Values from the calculation:
theoretical density	9.77	g cm⁻³
energy of formation from the pure elements	0.285	eV/atom

***

# 3
Here is crystalline ScCd2W at its relaxed geometry from Alexandria. Energies are from PBE.

Structure (CIF):
```
data_ScCd2W
_chemical_formula_sum 'Sc1 Cd2 W1'
_cell_length_a 2.9129
_cell_length_b 2.9129
_cell_length_c 9.4417
_cell_angle_alpha 90.00
_cell_angle_beta 90.00
_cell_angle_gamma 100.85
_symmetry_space_group_name_H-M 'P 1'
_symmetry_Int_Tables_number 1
_symmetry_space_group_name_Hall 'P 1'
loop_
_atom_site_label
_atom_site_type_symbol
_atom_site_fract_x
_atom_site_fract_y
_atom_site_fract_z
Sc1 Sc 0.0000 0.0000 0.5159
Cd1 Cd 0.5000 0.5000 0.2510
Cd2 Cd 0.0000 0.0000 0.9883
W1 W 0.5000 0.5000 0.7448
```

Values from the calculation:
theoretical density	9.57	g cm⁻³
energy of formation from the pure elements	0.167	eV/atom

***

# 4
Here is crystalline ScCdW2 at its relaxed geometry from Alexandria. Energies are from PBE.

Structure (CIF):
```
data_ScCdW2
_chemical_formula_sum 'Sc1 Cd1 W2'
_cell_length_a 2.8610
_cell_length_b 2.8610
_cell_length_c 9.5556
_cell_angle_alpha 90.00
_cell_angle_beta 90.00
_cell_angle_gamma 109.67
_symmetry_space_group_name_H-M 'P 1'
_symmetry_Int_Tables_number 1
_symmetry_space_group_name_Hall 'P 1'
loop_
_atom_site_label
_atom_site_type_symbol
_atom_site_fract_x
_atom_site_fract_y
_atom_site_fract_z
Sc1 Sc 0.5000 0.5000 0.7671
W1 W 0.0000 0.0000 0.0113
W2 W 0.5000 0.5000 0.2300
Cd1 Cd 0.0000 0.0000 0.4916
```

Values from the calculation:
theoretical density	11.84	g cm⁻³
energy of formation from the pure elements	0.228	eV/atom

***

# 5
Here is crystalline ScCd2W at its relaxed geometry from Alexandria. Energies are from PBE.

Structure (CIF):
```
data_ScCd2W
_chemical_formula_sum 'Sc1 Cd2 W1'
_cell_length_a 10.0701
_cell_length_b 10.0701
_cell_length_c 10.0701
_cell_angle_alpha 17.47
_cell_angle_beta 17.47
_cell_angle_gamma 17.47
_symmetry_space_group_name_H-M 'P 1'
_symmetry_Int_Tables_number 1
_symmetry_space_group_name_Hall 'P 1'
loop_
_atom_site_label
_atom_site_type_symbol
_atom_site_fract_x
_atom_site_fract_y
_atom_site_fract_z
Sc1 Sc 0.4949 0.4949 0.4949
Cd1 Cd 0.0039 0.0039 0.0039
Cd2 Cd 0.2492 0.2492 0.2492
W1 W 0.7521 0.7521 0.7521
```

Values from the calculation:
theoretical density	9.38	g cm⁻³
energy of formation from the pure elements	0.276	eV/atom

***

# 6
Here is crystalline ScCdW at its relaxed geometry from Alexandria. Energies are from PBE.

Structure (CIF):
```
data_ScCdW
_chemical_formula_sum 'Sc1 Cd1 W1'
_cell_length_a 7.3780
_cell_length_b 7.2746
_cell_length_c 2.8791
_cell_angle_alpha 80.69
_cell_angle_beta 76.66
_cell_angle_gamma 22.65
_symmetry_space_group_name_H-M 'P 1'
_symmetry_Int_Tables_number 1
_symmetry_space_group_name_Hall 'P 1'
loop_
_atom_site_label
_atom_site_type_symbol
_atom_site_fract_x
_atom_site_fract_y
_atom_site_fract_z
Sc1 Sc 0.3254 0.3254 0.6746
W1 W 0.6703 0.6703 0.3297
Cd1 Cd 0.0043 0.0043 0.9957
```

Values from the calculation:
theoretical density	9.88	g cm⁻³
energy of formation from the pure elements	0.222	eV/atom

***

# 7
Here is crystalline ScCd2W at its relaxed geometry from Alexandria. Energies are from PBE.

Structure (CIF):
```
data_ScCd2W
_chemical_formula_sum 'Sc1 Cd2 W1'
_cell_length_a 5.2930
_cell_length_b 5.2930
_cell_length_c 5.2930
_cell_angle_alpha 133.23
_cell_angle_beta 133.23
_cell_angle_gamma 68.29
_symmetry_space_group_name_H-M 'P 1'
_symmetry_Int_Tables_number 1
_symmetry_space_group_name_Hall 'P 1'
loop_
_atom_site_label
_atom_site_type_symbol
_atom_site_fract_x
_atom_site_fract_y
_atom_site_fract_z
Cd1 Cd 0.5000 0.5000 0.0000
Cd2 Cd 0.0000 0.0000 0.0000
W1 W 0.7500 0.2500 0.5000
Sc1 Sc 0.2500 0.7500 0.5000
```

Values from the calculation:
theoretical density	9.74	g cm⁻³
energy of formation from the pure elements	0.335	eV/atom

***

# 8
Here is crystalline ScCdW2 at its relaxed geometry from Alexandria. Energies are from PBE.

Structure (CIF):
```
data_ScCdW2
_chemical_formula_sum 'Sc1 Cd1 W2'
_cell_length_a 2.7751
_cell_length_b 2.7751
_cell_length_c 9.4404
_cell_angle_alpha 90.00
_cell_angle_beta 90.00
_cell_angle_gamma 90.00
_symmetry_space_group_name_H-M 'P 1'
_symmetry_Int_Tables_number 1
_symmetry_space_group_name_Hall 'P 1'
loop_
_atom_site_label
_atom_site_type_symbol
_atom_site_fract_x
_atom_site_fract_y
_atom_site_fract_z
W1 W 0.0000 0.0000 0.0018
W2 W 0.0000 0.0000 0.4982
Sc1 Sc 0.5000 0.5000 0.7500
Cd1 Cd 0.5000 0.5000 0.2500
```

Values from the calculation:
theoretical density	11.99	g cm⁻³
energy of formation from the pure elements	0.434	eV/atom

***

# 9
Here is crystalline ScCd2W at its relaxed geometry from Alexandria. Energies are from PBE.

Structure (CIF):
```
data_ScCd2W
_chemical_formula_sum 'Sc1 Cd2 W1'
_cell_length_a 4.8028
_cell_length_b 4.8028
_cell_length_c 4.8028
_cell_angle_alpha 60.00
_cell_angle_beta 60.00
_cell_angle_gamma 60.00
_symmetry_space_group_name_H-M 'P 1'
_symmetry_Int_Tables_number 1
_symmetry_space_group_name_Hall 'P 1'
loop_
_atom_site_label
_atom_site_type_symbol
_atom_site_fract_x
_atom_site_fract_y
_atom_site_fract_z
Cd1 Cd 0.7500 0.7500 0.7500
Cd2 Cd 0.2500 0.2500 0.2500
Sc1 Sc 0.0000 0.0000 0.0000
W1 W 0.5000 0.5000 0.5000
```

Values from the calculation:
theoretical density	9.62	g cm⁻³
energy of formation from the pure elements	0.462	eV/atom

***

# 10
Here is crystalline ScCd2W at its relaxed geometry from Alexandria. Energies are from PBE.

Structure (CIF):
```
data_ScCd2W
_chemical_formula_sum 'Sc1 Cd2 W1'
_cell_length_a 10.4195
_cell_length_b 10.4195
_cell_length_c 10.4195
_cell_angle_alpha 16.43
_cell_angle_beta 16.43
_cell_angle_gamma 16.43
_symmetry_space_group_name_H-M 'P 1'
_symmetry_Int_Tables_number 1
_symmetry_space_group_name_Hall 'P 1'
loop_
_atom_site_label
_atom_site_type_symbol
_atom_site_fract_x
_atom_site_fract_y
_atom_site_fract_z
Sc1 Sc 0.2500 0.2500 0.2500
Cd1 Cd 0.0033 0.0033 0.0033
Cd2 Cd 0.4967 0.4967 0.4967
W1 W 0.7500 0.7500 0.7500
```

Values from the calculation:
theoretical density	9.55	g cm⁻³
energy of formation from the pure elements	0.396	eV/atom

***

# 11
Here is crystalline ScCd2W at its relaxed geometry from Alexandria. Energies are from PBE.

Structure (CIF):
```
data_ScCd2W
_chemical_formula_sum 'Sc1 Cd2 W1'
_cell_length_a 5.3572
_cell_length_b 5.3572
_cell_length_c 5.3572
_cell_angle_alpha 134.16
_cell_angle_beta 134.16
_cell_angle_gamma 66.84
_symmetry_space_group_name_H-M 'P 1'
_symmetry_Int_Tables_number 1
_symmetry_space_group_name_Hall 'P 1'
loop_
_atom_site_label
_atom_site_type_symbol
_atom_site_fract_x
_atom_site_fract_y
_atom_site_fract_z
Sc1 Sc 0.5000 0.5000 0.0000
Cd1 Cd 0.2500 0.7500 0.5000
Cd2 Cd 0.0000 0.0000 0.0000
W1 W 0.7500 0.2500 0.5000
```

Values from the calculation:
theoretical density	9.67	g cm⁻³
energy of formation from the pure elements	0.404	eV/atom

***

# 12
Here is crystalline ScCdW2 at its relaxed geometry from Alexandria. Energies are from PBE.

Structure (CIF):
```
data_ScCdW2
_chemical_formula_sum 'Sc1 Cd1 W2'
_cell_length_a 3.4251
_cell_length_b 4.4319
_cell_length_c 4.7231
_cell_angle_alpha 90.00
_cell_angle_beta 90.00
_cell_angle_gamma 90.00
_symmetry_space_group_name_H-M 'P 1'
_symmetry_Int_Tables_number 1
_symmetry_space_group_name_Hall 'P 1'
loop_
_atom_site_label
_atom_site_type_symbol
_atom_site_fract_x
_atom_site_fract_y
_atom_site_fract_z
W1 W 0.0000 0.0000 0.0000
W2 W 0.5000 0.5000 0.0000
Cd1 Cd 0.5000 0.0000 0.5000
Sc1 Sc 0.0000 0.5000 0.5000
```

Values from the calculation:
theoretical density	12.16	g cm⁻³
energy of formation from the pure elements	0.336	eV/atom

***

# 13
Here is crystalline ScCd2W at its relaxed geometry from Alexandria. Energies are from PBE.

Structure (CIF):
```
data_ScCd2W
_chemical_formula_sum 'Sc1 Cd2 W1'
_cell_length_a 5.7200
_cell_length_b 5.7200
_cell_length_c 5.7200
_cell_angle_alpha 144.90
_cell_angle_beta 132.66
_cell_angle_gamma 60.28
_symmetry_space_group_name_H-M 'P 1'
_symmetry_Int_Tables_number 1
_symmetry_space_group_name_Hall 'P 1'
loop_
_atom_site_label
_atom_site_type_symbol
_atom_site_fract_x
_atom_site_fract_y
_atom_site_fract_z
W1 W 0.2500 0.7500 0.5000
Sc1 Sc 0.7500 0.2500 0.5000
Cd1 Cd 0.0112 0.0112 0.0000
Cd2 Cd 0.4888 0.4888 0.0000
```

Values from the calculation:
theoretical density	9.61	g cm⁻³
energy of formation from the pure elements	0.360	eV/atom

***

# 14
Here is crystalline ScCdW2 at its relaxed geometry from Alexandria. Energies are from PBE.

Structure (CIF):
```
data_ScCdW2
_chemical_formula_sum 'Sc1 Cd1 W2'
_cell_length_a 3.2885
_cell_length_b 3.2885
_cell_length_c 6.9410
_cell_angle_alpha 90.00
_cell_angle_beta 90.00
_cell_angle_gamma 90.00
_symmetry_space_group_name_H-M 'P 1'
_symmetry_Int_Tables_number 1
_symmetry_space_group_name_Hall 'P 1'
loop_
_atom_site_label
_atom_site_type_symbol
_atom_site_fract_x
_atom_site_fract_y
_atom_site_fract_z
Cd1 Cd 0.0000 0.0000 0.4859
W1 W 0.0000 0.0000 0.0275
W2 W 0.5000 0.5000 0.2156
Sc1 Sc 0.5000 0.5000 0.7711
```

Values from the calculation:
theoretical density	11.62	g cm⁻³
energy of formation from the pure elements	0.169	eV/atom

***

# 15
Here is crystalline ScCdW at its relaxed geometry from Alexandria. Energies are from PBE.

Structure (CIF):
```
data_ScCdW
_chemical_formula_sum 'Sc1 Cd1 W1'
_cell_length_a 7.2894
_cell_length_b 7.2894
_cell_length_c 7.2894
_cell_angle_alpha 157.39
_cell_angle_beta 157.39
_cell_angle_gamma 32.20
_symmetry_space_group_name_H-M 'P 1'
_symmetry_Int_Tables_number 1
_symmetry_space_group_name_Hall 'P 1'
loop_
_atom_site_label
_atom_site_type_symbol
_atom_site_fract_x
_atom_site_fract_y
_atom_site_fract_z
Cd1 Cd 0.0042 0.0042 0.0000
Sc1 Sc 0.3267 0.3267 0.0000
W1 W 0.6691 0.6691 0.0000
```

Values from the calculation:
theoretical density	9.90	g cm⁻³
energy of formation from the pure elements	0.223	eV/atom

***

# 16
Here is crystalline ScCd2W at its relaxed geometry from Alexandria. Energies are from PBE.

Structure (CIF):
```
data_ScCd2W
_chemical_formula_sum 'Sc1 Cd2 W1'
_cell_length_a 5.1803
_cell_length_b 5.1803
_cell_length_c 5.4276
_cell_angle_alpha 81.73
_cell_angle_beta 81.73
_cell_angle_gamma 32.96
_symmetry_space_group_name_H-M 'P 1'
_symmetry_Int_Tables_number 1
_symmetry_space_group_name_Hall 'P 1'
loop_
_atom_site_label
_atom_site_type_symbol
_atom_site_fract_x
_atom_site_fract_y
_atom_site_fract_z
Sc1 Sc 0.5079 0.5079 0.4723
W1 W 0.2469 0.2469 0.2701
Cd1 Cd 0.9959 0.9959 0.9971
Cd2 Cd 0.7493 0.7493 0.7605
```

Values from the calculation:
theoretical density	9.62	g cm⁻³
energy of formation from the pure elements	0.320	eV/atom

***

# 17
Here is crystalline ScCdW2 at its relaxed geometry from Alexandria. Energies are from PBE.

Structure (CIF):
```
data_ScCdW2
_chemical_formula_sum 'Sc1 Cd1 W2'
_cell_length_a 2.7778
_cell_length_b 2.7778
_cell_length_c 9.5290
_cell_angle_alpha 90.00
_cell_angle_beta 90.00
_cell_angle_gamma 99.76
_symmetry_space_group_name_H-M 'P 1'
_symmetry_Int_Tables_number 1
_symmetry_space_group_name_Hall 'P 1'
loop_
_atom_site_label
_atom_site_type_symbol
_atom_site_fract_x
_atom_site_fract_y
_atom_site_fract_z
Sc1 Sc 0.5000 0.5000 0.7500
W1 W 0.0000 0.0000 0.5001
W2 W 0.0000 0.0000 0.9999
Cd1 Cd 0.5000 0.5000 0.2500
```

Values from the calculation:
theoretical density	12.03	g cm⁻³
energy of formation from the pure elements	0.418	eV/atom

***

# 18
Here is crystalline ScCd2W at its relaxed geometry from Alexandria. Energies are from PBE.

Structure (CIF):
```
data_ScCd2W
_chemical_formula_sum 'Sc1 Cd2 W1'
_cell_length_a 5.8389
_cell_length_b 5.8389
_cell_length_c 5.8389
_cell_angle_alpha 149.69
_cell_angle_beta 127.78
_cell_angle_gamma 61.57
_symmetry_space_group_name_H-M 'P 1'
_symmetry_Int_Tables_number 1
_symmetry_space_group_name_Hall 'P 1'
loop_
_atom_site_label
_atom_site_type_symbol
_atom_site_fract_x
_atom_site_fract_y
_atom_site_fract_z
Sc1 Sc 0.4896 0.4896 0.0000
Cd1 Cd 0.0030 0.0030 0.0000
Cd2 Cd 0.7547 0.2547 0.5000
W1 W 0.2528 0.7528 0.5000
```

Values from the calculation:
theoretical density	9.57	g cm⁻³
energy of formation from the pure elements	0.334	eV/atom

***

# 19
Here is crystalline ScCdW2 at its relaxed geometry from Alexandria. Energies are from PBE.

Structure (CIF):
```
data_ScCdW2
_chemical_formula_sum 'Sc1 Cd1 W2'
_cell_length_a 5.4227
_cell_length_b 5.4227
_cell_length_c 2.7753
_cell_angle_alpha 90.00
_cell_angle_beta 90.00
_cell_angle_gamma 117.48
_symmetry_space_group_name_H-M 'P 1'
_symmetry_Int_Tables_number 1
_symmetry_space_group_name_Hall 'P 1'
loop_
_atom_site_label
_atom_site_type_symbol
_atom_site_fract_x
_atom_site_fract_y
_atom_site_fract_z
Sc1 Sc 0.0000 0.5000 0.5000
W1 W 0.5000 0.5000 0.0000
W2 W 0.0000 0.0000 0.0000
Cd1 Cd 0.5000 0.0000 0.5000
```

Values from the calculation:
theoretical density	12.04	g cm⁻³
energy of formation from the pure elements	0.465	eV/atom

***

# 20
Here is crystalline Sc4CdW at its relaxed geometry from Alexandria. Energies are from PBE.

Structure (CIF):
```
data_Sc4CdW
_chemical_formula_sum 'Sc4 Cd1 W1'
_cell_length_a 5.6171
_cell_length_b 5.6171
_cell_length_c 5.6171
_cell_angle_alpha 60.00
_cell_angle_beta 60.00
_cell_angle_gamma 60.00
_symmetry_space_group_name_H-M 'P 1'
_symmetry_Int_Tables_number 1
_symmetry_space_group_name_Hall 'P 1'
loop_
_atom_site_label
_atom_site_type_symbol
_atom_site_fract_x
_atom_site_fract_y
_atom_site_fract_z
Cd1 Cd 0.0000 0.0000 0.0000
W1 W 0.7500 0.7500 0.7500
Sc1 Sc 0.3765 0.3765 0.3765
Sc2 Sc 0.3765 0.3765 0.8704
Sc3 Sc 0.3765 0.8704 0.3765
Sc4 Sc 0.8704 0.3765 0.3765
```

Values from the calculation:
theoretical density	6.31	g cm⁻³
energy of formation from the pure elements	0.531	eV/atom